(1)
{"formula": "K3Sm3AlS8", "functional": "PBE-GGA", "state": "relaxed", "density_g_cm3": 3.4, "e_form_raw_ev_per_atom": -1.546, "vol_a3_per_atom": 28.0, "sg": "No. 12", "dft_energy_ev_per_atom": -5.160, "lattice_angstrom": [[8.009, 0.000, 0.000], [-4.005, 6.943, -0.031], [0.000, -4.600, 7.562]], "species": ["S", "K", "Sm", "K", "S", "S", "Sm", "S", "S", "Al", "S", "Sm", "K", "S", "S"], "fractional_positions": [[0.788, 0.025, 0.313], [0.000, 0.500, 0.000], [0.000, 0.500, 0.500], [0.500, 0.500, 0.000], [0.264, 0.529, 0.293], [0.212, 0.424, 0.687], [0.500, 0.000, 0.500], [0.237, 0.025, 0.313], [0.788, 0.576, 0.313], [0.000, 0.000, 0.500], [0.736, 0.471, 0.707], [0.500, 0.500, 0.500], [0.000, 0.000, 0.000], [0.212, 0.975, 0.687], [0.763, 0.975, 0.687]]}

***

(2)
{"formula": "K3Sm2AlS6", "functional": "PBE-GGA", "state": "relaxed", "density_g_cm3": 3.5, "e_form_raw_ev_per_atom": -1.573, "vol_a3_per_atom": 25.5, "sg": "No. 12", "dft_energy_ev_per_atom": -5.009, "lattice_angstrom": [[-4.912, 3.242, 3.649], [-1.125, -6.392, -2.414], [4.780, -1.772, 5.802]], "species": ["S", "K", "K", "S", "S", "S", "Al", "Sm", "Sm", "S", "S", "K"], "fractional_positions": [[0.236, 0.236, 0.805], [0.500, 0.500, 0.500], [0.830, 0.170, 0.500], [0.764, 0.764, 0.195], [0.935, 0.632, 0.805], [0.632, 0.935, 0.805], [0.000, 0.000, 0.000], [0.334, 0.666, 0.000], [0.666, 0.334, 0.000], [0.065, 0.368, 0.195], [0.368, 0.065, 0.195], [0.170, 0.830, 0.500]]}

***

(3)
{"formula": "KAlSnS4", "functional": "PBE-GGA", "state": "relaxed", "density_g_cm3": 2.5, "e_form_raw_ev_per_atom": -0.880, "vol_a3_per_atom": 29.3, "sg": "No. 82", "dft_energy_ev_per_atom": -4.501, "lattice_angstrom": [[6.802, 0.000, 0.000], [0.000, 6.802, 0.000], [-3.401, -3.401, 4.439]], "species": ["S", "S", "S", "S", "Sn", "K", "Al"], "fractional_positions": [[0.895, 0.480, 0.304], [0.520, 0.591, 0.696], [0.176, 0.105, 0.696], [0.409, 0.824, 0.304], [0.500, 0.500, 0.000], [0.000, 0.000, 0.000], [0.250, 0.750, 0.500]]}

***

(4)
{"formula": "K2AlSnS4", "functional": "PBE-GGA", "state": "relaxed", "density_g_cm3": 2.3, "e_form_raw_ev_per_atom": -0.872, "vol_a3_per_atom": 31.7, "sg": "No. 70", "dft_energy_ev_per_atom": -4.179, "lattice_angstrom": [[-5.637, 0.508, 2.717], [-5.546, -3.807, -3.542], [-0.528, -9.137, 7.866]], "species": ["Al", "S", "Al", "K", "S", "S", "S", "Sn", "K", "S", "K", "K", "Sn", "S", "S", "S"], "fractional_positions": [[0.500, 0.000, 0.000], [0.238, 0.199, 0.895], [0.250, 0.500, 0.500], [0.184, 0.000, 0.631], [0.868, 0.801, 0.895], [0.419, 0.699, 0.395], [0.882, 0.699, 0.605], [0.000, 0.000, 0.000], [0.566, 0.500, 0.869], [0.512, 0.301, 0.605], [0.816, 0.000, 0.369], [0.934, 0.500, 0.131], [0.750, 0.500, 0.500], [0.186, 0.301, 0.395], [0.331, 0.801, 0.105], [0.564, 0.199, 0.105]]}

***

- Number 3 is which compound?
  KAlSnS4